w) VASP calculation (PBE) on crystalline Nd6Y4Er at its relaxed geometry.

a b c (Å): 6.834 6.834 9.561
angles (deg): 110.94 110.94 90.00
Fractional coordinates of all 11 atoms:
Nd  0.868  0.486  0.354
Nd  0.132  0.132  0.646
Nd  0.486  0.868  0.354
Nd  0.000  0.500  0.000
Nd  0.514  0.514  0.646
Nd  0.500  0.000  0.000
Y  0.710  0.060  0.770
Y  0.290  0.290  0.230
Y  0.940  0.940  0.230
Y  0.060  0.710  0.770
Er  0.500  0.500  0.000

Summary:
Magnetization (μB per formula unit): 0.0
Crystal system: tetragonal


x) VASP calculation (PBE) on crystalline Nd6Y4Er at its relaxed geometry.

a b c (Å): 5.878 5.701 26.004
angles (deg): 90.00 90.00 121.03
Fractional coordinates of all 22 atoms:
Nd  0.127  0.254  0.317
Nd  0.453  0.907  0.250
Nd  0.873  0.746  0.817
Nd  0.547  0.093  0.750
Nd  0.127  0.254  0.183
Nd  0.500  0.000  0.500
Nd  0.500  0.000  0.000
Nd  0.803  0.606  0.398
Nd  0.197  0.394  0.898
Nd  0.197  0.394  0.602
Nd  0.873  0.746  0.683
Nd  0.803  0.606  0.102
Er  0.791  0.583  0.250
Er  0.209  0.417  0.750
Y  0.462  0.923  0.124
Y  0.151  0.303  0.456
Y  0.462  0.923  0.376
Y  0.849  0.697  0.544
Y  0.538  0.077  0.624
Y  0.538  0.077  0.876
Y  0.849  0.697  0.956
Y  0.151  0.303  0.044

Summary:
Magnetization (μB per formula unit): 0.0
Crystal system: orthorhombic


The data favor x); the next most stable structure lies 0.193 eV/atom above it.


w) VASP calculation (PBE) on crystalline NdYErZn at its relaxed geometry.

a b c (Å): 3.579 3.579 8.752
angles (deg): 90.00 90.00 90.00
Fractional coordinates of all 4 atoms:
Zn  0.000  0.000  0.567
Er  0.500  0.500  0.370
Y  0.500  0.500  0.773
Nd  0.000  0.000  0.075

Summary:
Magnetization (μB per formula unit): 0.0
Crystal system: tetragonal


x) VASP calculation (PBE) on crystalline NdYErZn at its relaxed geometry.

a b c (Å): 5.388 5.388 5.388
angles (deg): 60.00 60.00 60.00
Fractional coordinates of all 4 atoms:
Zn  0.500  0.500  0.500
Er  0.000  0.000  0.000
Nd  0.750  0.750  0.750
Y  0.250  0.250  0.250

Summary:
Magnetization (μB per formula unit): 0.0
Crystal system: cubic


The data favor w); the next most stable structure lies 0.202 eV/atom above it.


w) VASP calculation (PBE) on crystalline NdErZn4 at its relaxed geometry.

a b c (Å): 4.500 5.754 5.754
angles (deg): 77.30 66.98 66.98
Fractional coordinates of all 6 atoms:
Nd  0.000  0.000  0.000
Zn  0.334  0.910  0.423
Zn  0.666  0.577  0.090
Zn  0.334  0.423  0.910
Zn  0.666  0.090  0.577
Er  0.000  0.500  0.500

Summary:
Magnetization (μB per formula unit): 0.0
Crystal system: orthorhombic


x) VASP calculation (PBE) on crystalline NdErZn4 at its relaxed geometry.

a b c (Å): 5.506 5.506 5.506
angles (deg): 60.00 60.00 60.00
Fractional coordinates of all 6 atoms:
Nd  0.250  0.250  0.250
Zn  0.625  0.625  0.124
Zn  0.625  0.124  0.625
Zn  0.625  0.625  0.625
Zn  0.124  0.625  0.625
Er  0.000  0.000  0.000

Summary:
Magnetization (μB per formula unit): 0.0
Crystal system: cubic


The data favor w); the next most stable structure lies 0.030 eV/atom above it.


w) VASP calculation (PBE) on crystalline NdEr2Zn2 at its relaxed geometry.

a b c (Å): 5.220 6.229 8.102
angles (deg): 90.00 108.79 90.00
Fractional coordinates of all 10 atoms:
Er  0.201  0.645  0.402
Er  0.799  0.145  0.598
Er  0.041  0.262  0.082
Er  0.959  0.762  0.918
Zn  0.781  0.638  0.563
Zn  0.628  0.412  0.257
Zn  0.219  0.138  0.437
Zn  0.372  0.912  0.743
Nd  0.585  0.908  0.169
Nd  0.415  0.408  0.831

Summary:
Magnetization (μB per formula unit): 0.0
Crystal system: orthorhombic


x) VASP calculation (PBE) on crystalline NdEr2Zn2 at its relaxed geometry.

a b c (Å): 3.613 5.212 13.363
angles (deg): 90.00 97.77 90.00
Fractional coordinates of all 10 atoms:
Nd  0.144  0.250  0.287
Nd  0.856  0.750  0.713
Zn  0.360  0.250  0.719
Zn  0.640  0.750  0.281
Zn  0.545  0.250  0.091
Zn  0.455  0.750  0.909
Er  0.953  0.250  0.907
Er  0.047  0.750  0.093
Er  0.767  0.250  0.534
Er  0.233  0.750  0.466

Summary:
Magnetization (μB per formula unit): 0.0
Crystal system: monoclinic


The data favor x); the next most stable structure lies 0.061 eV/atom above it.


w) VASP calculation (PBE) on crystalline Nd3ErZn8 at its relaxed geometry.

a b c (Å): 5.654 5.654 8.716
angles (deg): 90.00 90.00 120.00
Fractional coordinates of all 12 atoms:
Zn  0.497  0.994  0.747
Zn  0.333  0.667  0.002
Zn  0.333  0.667  0.497
Zn  0.166  0.332  0.254
Zn  0.668  0.834  0.254
Zn  0.497  0.503  0.747
Zn  0.006  0.503  0.747
Zn  0.166  0.834  0.254
Er  0.000  0.000  0.555
Nd  0.000  0.000  0.944
Nd  0.667  0.333  0.447
Nd  0.667  0.333  0.051

Summary:
Magnetization (μB per formula unit): 0.0
Crystal system: trigonal


x) VASP calculation (PBE) on crystalline Nd3ErZn8 at its relaxed geometry.

a b c (Å): 5.552 5.552 9.578
angles (deg): 73.15 73.15 60.00
Fractional coordinates of all 12 atoms:
Zn  0.938  0.441  0.684
Zn  0.437  0.935  0.191
Zn  0.938  0.938  0.684
Zn  0.441  0.938  0.684
Zn  0.688  0.688  0.937
Zn  0.935  0.437  0.191
Zn  0.187  0.187  0.438
Zn  0.437  0.437  0.191
Er  0.876  0.876  0.373
Nd  0.375  0.375  0.876
Nd  0.499  0.499  0.502
Nd  0.000  0.000  0.999

Summary:
Magnetization (μB per formula unit): 0.0
Crystal system: trigonal


The data favor x); the next most stable structure lies 0.016 eV/atom above it.


w) VASP calculation (PBE) on crystalline Nd3ErZn2 at its relaxed geometry.

a b c (Å): 6.992 7.312 8.915
angles (deg): 114.21 113.09 90.00
Fractional coordinates of all 12 atoms:
Nd  0.225  0.975  0.450
Nd  0.500  0.250  0.000
Nd  0.225  0.475  0.450
Nd  0.775  0.025  0.550
Nd  0.775  0.525  0.550
Nd  0.500  0.750  0.000
Er  0.000  0.000  0.000
Er  0.000  0.500  0.000
Zn  0.431  0.636  0.272
Zn  0.842  0.136  0.272
Zn  0.569  0.364  0.728
Zn  0.158  0.864  0.728

Summary:
Magnetization (μB per formula unit): 0.0
Crystal system: orthorhombic


x) VASP calculation (PBE) on crystalline Nd3ErZn2 at its relaxed geometry.

a b c (Å): 3.681 3.681 12.306
angles (deg): 90.00 90.00 90.00
Fractional coordinates of all 6 atoms:
Nd  0.000  0.000  0.000
Nd  0.000  0.000  0.296
Nd  0.000  0.000  0.704
Zn  0.500  0.500  0.851
Zn  0.500  0.500  0.149
Er  0.500  0.500  0.500

Summary:
Magnetization (μB per formula unit): 0.0
Crystal system: tetragonal


The data favor x); the next most stable structure lies 0.250 eV/atom above it.


w) VASP calculation (PBE) on crystalline Er4Ni at its relaxed geometry.

a b c (Å): 7.087 7.087 7.090
angles (deg): 107.42 107.42 113.64
Fractional coordinates of all 10 atoms:
Er  0.635  0.466  0.764
Er  0.195  0.959  0.169
Er  0.209  0.945  0.669
Er  0.121  0.452  0.736
Er  0.716  0.385  0.264
Er  0.276  0.540  0.331
Er  0.790  0.026  0.831
Er  0.702  0.871  0.236
Ni  0.580  0.080  0.500
Ni  0.330  0.330  0.000

Summary:
Magnetization (μB per formula unit): 0.1
Crystal system: tetragonal


x) VASP calculation (PBE) on crystalline Er4Ni at its relaxed geometry.

a b c (Å): 7.448 7.448 7.448
angles (deg): 60.00 60.00 60.00
Fractional coordinates of all 10 atoms:
Ni  0.500  0.500  0.500
Ni  0.750  0.750  0.750
Er  0.912  0.363  0.363
Er  0.363  0.363  0.363
Er  0.363  0.363  0.912
Er  0.887  0.887  0.887
Er  0.887  0.887  0.338
Er  0.887  0.338  0.887
Er  0.363  0.912  0.363
Er  0.338  0.887  0.887

Summary:
Magnetization (μB per formula unit): 0.1
Crystal system: cubic


y) VASP calculation (PBE) on crystalline Er4Ni at its relaxed geometry.

a b c (Å): 5.249 5.249 5.249
angles (deg): 90.00 90.00 90.00
Fractional coordinates of all 5 atoms:
Er  0.500  0.000  0.500
Er  0.000  0.500  0.500
Er  0.000  0.000  0.000
Er  0.500  0.500  0.000
Ni  0.500  0.500  0.500

Summary:
Magnetization (μB per formula unit): 0.0
Crystal system: cubic


The data favor w); the next most stable structure lies 0.093 eV/atom above it.


w) VASP calculation (PBE) on crystalline Er2NiOs at its relaxed geometry.

a b c (Å): 3.257 3.257 9.390
angles (deg): 80.01 80.01 60.00
Fractional coordinates of all 4 atoms:
Ni  0.000  0.000  0.000
Os  0.500  0.500  0.500
Er  0.909  0.909  0.274
Er  0.091  0.091  0.726

Summary:
Magnetization (μB per formula unit): 0.0
Crystal system: trigonal


x) VASP calculation (PBE) on crystalline Er2NiOs at its relaxed geometry.

a b c (Å): 3.378 3.378 6.690
angles (deg): 90.00 90.00 90.00
Fractional coordinates of all 4 atoms:
Er  0.000  0.000  0.248
Er  0.000  0.000  0.752
Os  0.500  0.500  0.000
Ni  0.500  0.500  0.500

Summary:
Magnetization (μB per formula unit): 0.0
Crystal system: tetragonal


The data favor x); the next most stable structure lies 0.767 eV/atom above it.


w) VASP calculation (PBE) on crystalline ErNi3P2 at its relaxed geometry.

a b c (Å): 3.740 7.308 6.796
angles (deg): 114.18 90.00 104.83
Fractional coordinates of all 12 atoms:
P  0.811  0.621  0.319
P  0.189  0.379  0.681
P  0.481  0.963  0.823
P  0.519  0.037  0.177
Ni  0.043  0.086  0.366
Ni  0.600  0.199  0.689
Ni  0.957  0.914  0.634
Ni  0.683  0.366  0.433
Ni  0.400  0.801  0.311
Ni  0.317  0.634  0.567
Er  0.154  0.308  0.069
Er  0.846  0.692  0.931

Summary:
Magnetization (μB per formula unit): 0.0
Crystal system: monoclinic


x) VASP calculation (PBE) on crystalline ErNi3P2 at its relaxed geometry.

a b c (Å): 3.701 7.705 9.108
angles (deg): 106.42 90.00 103.90
Fractional coordinates of all 18 atoms:
Ni  0.781  0.561  0.607
Ni  0.628  0.257  0.207
Ni  0.676  0.353  0.968
Ni  0.954  0.908  0.661
Ni  0.500  0.000  0.500
Ni  0.219  0.439  0.393
Ni  0.372  0.743  0.793
Ni  0.324  0.647  0.032
Ni  0.046  0.092  0.339
P  0.533  0.067  0.783
P  0.639  0.278  0.454
P  0.361  0.722  0.546
P  0.200  0.401  0.132
P  0.800  0.599  0.868
P  0.467  0.933  0.217
Er  0.154  0.307  0.700
Er  0.846  0.693  0.300
Er  0.000  0.000  0.000

Summary:
Magnetization (μB per formula unit): 0.0
Crystal system: monoclinic


The data favor x); the next most stable structure lies 0.052 eV/atom above it.


w) VASP calculation (PBE) on crystalline ErPaNi2 at its relaxed geometry.

a b c (Å): 4.746 4.746 4.746
angles (deg): 60.00 60.00 60.00
Fractional coordinates of all 4 atoms:
Pa  0.000  0.000  0.000
Ni  0.750  0.750  0.750
Ni  0.250  0.250  0.250
Er  0.500  0.500  0.500

Summary:
Magnetization (μB per formula unit): 0.0
Crystal system: cubic


x) VASP calculation (PBE) on crystalline ErPaNi2 at its relaxed geometry.

a b c (Å): 3.674 3.674 7.306
angles (deg): 75.44 75.44 60.00
Fractional coordinates of all 4 atoms:
Ni  0.257  0.257  0.229
Ni  0.743  0.743  0.771
Pa  0.000  0.000  0.000
Er  0.500  0.500  0.500

Summary:
Magnetization (μB per formula unit): 0.0
Crystal system: trigonal


y) VASP calculation (PBE) on crystalline ErPaNi2 at its relaxed geometry.

a b c (Å): 3.475 4.296 5.441
angles (deg): 90.00 108.71 90.00
Fractional coordinates of all 4 atoms:
Ni  0.170  0.500  0.878
Ni  0.006  0.000  0.553
Pa  0.714  0.000  0.966
Er  0.440  0.500  0.421

Summary:
Magnetization (μB per formula unit): 0.0
Crystal system: monoclinic


The data favor y); the next most stable structure lies 0.145 eV/atom above it.


w) VASP calculation (PBE) on crystalline Er3NiPb at its relaxed geometry.

a b c (Å): 5.153 5.153 5.153
angles (deg): 90.00 90.00 90.00
Fractional coordinates of all 5 atoms:
Er  0.000  0.500  0.000
Er  0.000  0.000  0.500
Er  0.500  0.000  0.000
Pb  0.500  0.500  0.500
Ni  0.000  0.000  0.000

Summary:
Magnetization (μB per formula unit): 0.0
Crystal system: cubic


x) VASP calculation (PBE) on crystalline Er3NiPb at its relaxed geometry.

a b c (Å): 4.435 7.686 8.273
angles (deg): 114.72 90.00 90.00
Fractional coordinates of all 10 atoms:
Pb  0.250  0.325  0.201
Pb  0.750  0.675  0.799
Ni  0.250  0.937  0.417
Ni  0.750  0.063  0.583
Er  0.750  0.671  0.407
Er  0.750  0.325  0.918
Er  0.250  0.954  0.755
Er  0.250  0.329  0.593
Er  0.750  0.046  0.245
Er  0.250  0.675  0.082

Summary:
Magnetization (μB per formula unit): 0.0
Crystal system: monoclinic


The data favor x); the next most stable structure lies 0.119 eV/atom above it.